First-principles (PBE) data for a relaxed SrAuN2F crystal, as listed in the Alexandria database.

a = 5.113 Å, b = 5.113 Å, c = 4.532 Å
α = 90.00°, β = 90.00°, γ = 90.00°
Fractional positions:
F (0.000, 0.000, 0.500)
Sr (0.000, 0.000, 0.000)
N (0.500, 0.000, 0.000)
N (0.000, 0.500, 0.000)
Au (0.500, 0.500, 0.500)

Results
SG = P4/mmm (123)
VASP energy = -3.871 eV/atom
raw formation energy = 0.825 eV per atom
total moment = 4.060 μB/f.u.
theoretical density = 4648 kg/m³
ΔE to the lowest computed polymorph = 814 meV/atom